# 1
Density functional theory data (PBE) for an optimized crystal structure of PmDyCuTc.

## Properties
The value obtained for the energy of formation is -10 kJ/mol of formula units. The space group is F-43m (216). The density of states at the Fermi level comes out at 4.004 states/eV per cell.

Structure (POSCAR):
```
PmDyCuTc
1.0
-0.166 2.566 -4.208
3.082 -1.108 -3.686
-1.728 -2.111 -4.108
Pm Tc Cu Dy
1 1 1 1
Cartesian
0.594 -0.327 -6.001
0.891 -0.490 -9.002
0.297 -0.163 -3.001
0.000 0.000 0.000
```

***

# 2
Density functional theory data (PBE) for an optimized crystal structure of Pm2DyCuTe5.

## Properties
The space group is Cmc2_1 (36). The value obtained for the formation energy without anion corrections is -1.192 eV per atom. The density of states at the Fermi level comes out at 0.292 states/eV per cell.

Structure (POSCAR):
```
Pm2DyCuTe5
1.0
-2.537 3.214 -1.295
-0.812 -6.439 -7.267
-10.092 -5.536 6.033
Pm Dy Cu Te
4 2 2 10
Cartesian
-10.966 -6.488 -1.736
-7.371 -4.848 2.409
-3.604 -2.893 -0.119
-4.766 -3.198 -5.718
-7.696 -4.205 -2.476
-0.886 -1.892 -2.958
-11.239 -4.388 4.009
-6.413 -6.684 -4.021
-11.559 -8.961 0.409
-10.540 -4.861 1.466
-10.017 -9.186 -3.170
-7.982 -6.492 -0.470
-8.877 -5.955 -4.506
-6.909 -2.558 0.066
-4.748 -4.914 -2.891
-4.159 0.021 1.080
-3.904 -1.417 -2.989
-0.824 -0.755 -0.260
```

***

# 3
Density functional theory data (PBE) for an optimized crystal structure of PmDyZnCu.

## Properties
For the offset from the most stable computed form, the calculation gives 0.00 eV/f.u. The value obtained for the energy of formation is -102 kJ/mol of formula units. The space group is P4mm (99). The density of states at the Fermi level comes out at 3.570 states/eV per cell.

Structure (POSCAR):
```
PmDyZnCu
1.0
3.557 0.000 0.000
0.000 3.557 0.000
0.000 0.000 7.169
Pm Dy Zn Cu
1 1 1 1
Cartesian
1.779 1.779 0.793
1.779 1.779 4.289
0.000 0.000 6.046
0.000 0.000 2.693
```

***

# 4
Density functional theory data (PBE) for an optimized crystal structure of PmDyZnCu.

## Properties
For the offset from the most stable computed form, the calculation gives 0.03 eV/f.u. The value obtained for the energy of formation is -99 kJ/mol of formula units. The space group is F-43m (216). The density of states at the Fermi level comes out at 2.437 states/eV per cell.

Structure (POSCAR):
```
PmDyZnCu
1.0
-4.186 -2.151 -1.820
-0.182 -1.486 -4.818
-0.025 -4.919 -1.124
Zn Pm Cu Dy
1 1 1 1
Cartesian
-3.295 -6.417 -5.822
0.000 0.000 0.000
-1.098 -2.139 -1.941
-2.197 -4.278 -3.881
```

***

# 5
Density functional theory data (PBE) for an optimized crystal structure of Pr5DyCu6.

## Properties
The value obtained for the energy of formation is -160 kJ/mol of formula units. The space group is C2/m (12). The density of states at the Fermi level comes out at 10.224 states/eV per cell.

Structure (POSCAR):
```
Pr5DyCu6
1.0
-3.603 -0.307 3.592
0.954 -7.078 0.352
3.977 -2.706 7.400
Pr Cu Dy
5 6 1
Cartesian
0.390 -3.191 7.376
0.433 -3.367 3.768
0.477 -3.539 0.176
0.895 -6.725 7.576
0.939 -6.901 3.968
-1.167 -5.371 5.597
-1.664 -1.687 5.415
2.911 -8.312 9.466
-1.582 -1.779 1.878
2.993 -8.405 5.930
2.496 -4.720 5.747
0.000 0.000 0.000
```

***

# 6
Density functional theory data (PBE) for an optimized crystal structure of PrDyCu.

## Properties
For the offset from the most stable computed form, the calculation gives 0.00 eV/f.u. The value obtained for the energy of formation is -33 kJ/mol of formula units. The space group is P2_1/m (11). The density of states at the Fermi level comes out at 6.226 states/eV per cell.

Structure (POSCAR):
```
PrDyCu
1.0
3.913 0.000 0.000
0.000 3.741 -0.303
0.000 -0.992 11.130
Pr Dy Cu
2 2 2
Cartesian
2.935 0.540 6.743
0.978 2.209 4.083
0.978 2.618 9.123
2.935 0.130 1.704
0.978 1.925 0.625
2.935 0.823 10.202
```

***

# 7
Density functional theory data (PBE) for an optimized crystal structure of Pr3DyCu4.

## Properties
The value obtained for the energy of formation is -117 kJ/mol of formula units. The space group is P4/mmm (123). The density of states at the Fermi level comes out at 6.691 states/eV per cell.

Structure (POSCAR):
```
Pr3DyCu4
1.0
3.571 0.000 0.000
0.000 3.571 0.000
0.000 0.000 14.396
Pr Cu Dy
3 4 1
Cartesian
1.785 1.785 3.526
1.785 1.785 7.198
1.785 1.785 10.870
0.000 0.000 12.799
0.000 0.000 1.597
0.000 0.000 5.369
0.000 0.000 9.027
1.785 1.785 0.000
```

***

# 8
Density functional theory data (PBE) for an optimized crystal structure of PrDy3Cu.

## Properties
The value obtained for the energy of formation is 34 kJ/mol of formula units. The space group is Pm-3m (221). The density of states at the Fermi level comes out at 5.708 states/eV per cell.

Structure (POSCAR):
```
PrDy3Cu
1.0
5.397 0.000 0.000
0.000 5.397 0.000
0.000 0.000 5.397
Pr Cu Dy
1 1 3
Cartesian
2.699 2.699 2.699
0.000 0.000 0.000
0.000 2.699 0.000
0.000 0.000 2.699
2.699 0.000 0.000
```

***

# 9
Density functional theory data (PBE) for an optimized crystal structure of PrDy2Cu2.

## Properties
The value obtained for the energy of formation is -56 kJ/mol of formula units. The space group is P2_1/m (11). The density of states at the Fermi level comes out at 10.946 states/eV per cell.

Structure (POSCAR):
```
PrDy2Cu2
1.0
4.679 0.000 0.000
0.000 4.996 -0.004
0.000 -1.237 10.753
Pr Dy Cu
2 4 4
Cartesian
1.170 3.160 2.624
3.509 0.598 8.126
1.170 3.124 9.522
3.509 0.635 1.228
1.170 0.628 5.430
3.509 3.131 5.319
1.170 3.128 6.808
3.509 0.631 3.942
1.170 0.641 10.701
3.509 3.118 0.048
```

***

# 10
Density functional theory data (PBE) for an optimized crystal structure of PrDyCu4.

## Properties
For the offset from the most stable computed form, the calculation gives 0.00 eV/f.u. The value obtained for the energy of formation is -132 kJ/mol of formula units. The space group is Imm2 (44). The density of states at the Fermi level comes out at 3.235 states/eV per cell.

Structure (POSCAR):
```
PrDyCu4
1.0
0.519 -3.101 2.969
-3.733 -4.083 -0.462
3.167 -4.195 -1.785
Pr Dy Cu
1 1 4
Cartesian
0.022 -5.471 0.581
0.219 -1.741 1.293
-2.205 -3.259 0.131
-1.355 -8.077 1.250
1.467 -8.123 0.709
1.993 -3.327 -0.674
```

***

# 11
Density functional theory data (PBE) for an optimized crystal structure of PrDyCu.

## Properties
For the offset from the most stable computed form, the calculation gives 0.64 eV/f.u. The value obtained for the energy of formation is 28 kJ/mol of formula units. The space group is F-43m (216). The density of states at the Fermi level comes out at 5.013 states/eV per cell.

Structure (POSCAR):
```
PrDyCu
1.0
-1.507 -0.676 4.654
2.964 -2.237 3.255
2.053 2.599 3.662
Pr Cu Dy
1 1 1
Cartesian
1.755 -0.157 5.785
0.877 -0.078 2.893
0.000 0.000 0.000
```

***

# 12
Density functional theory data (PBE) for an optimized crystal structure of Pr2DyCu.

## Properties
For the offset from the most stable computed form, the calculation gives 0.42 eV/f.u. The value obtained for the energy of formation is 30 kJ/mol of formula units. The space group is R3m (160). The density of states at the Fermi level comes out at 4.739 states/eV per cell.

Structure (POSCAR):
```
Pr2DyCu
1.0
3.719 0.000 0.000
1.859 3.220 0.000
1.859 1.073 10.053
Pr Dy Cu
2 1 1
Cartesian
1.859 1.073 7.951
1.859 1.073 2.100
3.719 2.147 5.043
5.578 3.220 10.039
```